1.
A relaxed YW2C crystal, computed with PBE-GGA.

Lattice parameters (Å, degrees): 6.221 6.221 8.765 90.00 90.00 90.00
Element x y z (fractional)
Y  0.000  0.250  0.375
Y  0.000  0.750  0.625
Y  0.500  0.250  0.125
Y  0.500  0.750  0.875
W  0.000  0.000  0.000
W  0.000  0.500  0.000
W  0.250  0.250  0.750
W  0.250  0.750  0.250
W  0.500  0.000  0.500
W  0.500  0.500  0.500
W  0.750  0.250  0.750
W  0.750  0.750  0.250
C  0.000  0.250  0.875
C  0.000  0.750  0.125
C  0.500  0.250  0.625
C  0.500  0.750  0.375

## Properties
**E**: -9.59 eV per atom
**SG**: No. 141
**Crystal system**: tetragonal
**Calculated formation energy**: 0.810 eV per atom
**Density of states at the Fermi level**: 0.576 states/eV/atom

2.
A relaxed Tc2IO7 crystal, computed with PBE-GGA.

Lattice parameters (Å, degrees): 7.830 7.830 3.296 90.00 90.00 127.58
Element x y z (fractional)
Tc  0.135  0.865  0.000
Tc  0.865  0.135  0.000
I  0.500  0.500  0.500
O  0.000  0.000  0.000
O  0.132  0.389  0.000
O  0.200  0.800  0.500
O  0.389  0.132  0.000
O  0.611  0.868  0.000
O  0.800  0.200  0.500
O  0.868  0.611  0.000

## Properties
**E**: -6.30 eV per atom
**Formation energy without anion corrections**: -603 meV/atom
**SG**: No. 65
**Crystal system**: orthorhombic
**Density of states at the Fermi level**: 0.455 states/eV/atom

3.
A relaxed Cs2Cd3In17 crystal, computed with PBE-GGA.

Lattice parameters (Å, degrees): 8.916 8.916 8.916 82.88 82.88 82.88
Element x y z (fractional)
Cs  0.146  0.146  0.146
Cs  0.854  0.854  0.854
Cd  0.000  0.000  0.500
Cd  0.000  0.500  0.000
Cd  0.500  0.000  0.000
In  0.000  0.500  0.500
In  0.170  0.170  0.677
In  0.170  0.677  0.170
In  0.246  0.500  0.754
In  0.246  0.754  0.500
In  0.323  0.830  0.830
In  0.387  0.387  0.387
In  0.500  0.000  0.500
In  0.500  0.246  0.754
In  0.500  0.500  0.000
In  0.500  0.754  0.246
In  0.613  0.613  0.613
In  0.677  0.170  0.170
In  0.754  0.246  0.500
In  0.754  0.500  0.246
In  0.830  0.323  0.830
In  0.830  0.830  0.323

## Properties
**E**: -2.28 eV per atom
**SG**: No. 166
**Crystal system**: trigonal
**Calculated formation energy**: 0.040 eV per atom
**Density of states at the Fermi level**: 0.428 states/eV/atom